No. 1
# Sr2FePH, optimized geometry, DFT PBE
# **SG**: P4/mmm
# **Total moment**: 0.52 μB/f.u.
# **E_tot**: -21.1 eV for the cell shown
data_Sr2FePH
_chemical_formula_sum 'Sr2 Fe1 P1 H1'
_symmetry_space_group_name_H-M 'P 1'
_symmetry_Int_Tables_number 1
_symmetry_space_group_name_Hall 'P 1'
_cell_length_a 5.591
_cell_length_b 4.146
_cell_length_c 5.591
_cell_angle_alpha 90.00
_cell_angle_beta 90.00
_cell_angle_gamma 90.00
loop_
_atom_site_label
_atom_site_fract_x
_atom_site_fract_y
_atom_site_fract_z
_atom_site_occupancy
Sr1 0.000 0.000 0.500 1
Sr2 0.500 0.000 0.000 1
Fe1 0.000 0.000 0.000 1
H1 0.500 0.500 0.500 1
P1 0.000 0.500 0.000 1


No. 2
# RbSrBi4, optimized geometry, DFT PBE
# **SG**: F-43m
# **Total moment**: 0.00 μB/f.u.
# **E_tot**: -20.1 eV for the cell shown
data_RbSrBi4
_chemical_formula_sum 'Rb1 Sr1 Bi4'
_symmetry_space_group_name_H-M 'P 1'
_symmetry_Int_Tables_number 1
_symmetry_space_group_name_Hall 'P 1'
_cell_length_a 6.799
_cell_length_b 6.799
_cell_length_c 6.799
_cell_angle_alpha 60.00
_cell_angle_beta 60.00
_cell_angle_gamma 60.00
loop_
_atom_site_label
_atom_site_fract_x
_atom_site_fract_y
_atom_site_fract_z
_atom_site_occupancy
Sr1 0.000 0.000 0.000 1
Bi1 0.625 0.625 0.124 1
Bi2 0.625 0.124 0.625 1
Bi3 0.625 0.625 0.625 1
Bi4 0.124 0.625 0.625 1
Rb1 0.250 0.250 0.250 1


No. 3
# AcPmAu2O8, optimized geometry, DFT PBE
# **SG**: I-4
# **E_form (uncorrected)**: -1.16 eV/atom
# **Total moment**: 4.07 μB/f.u.
# **E_tot**: -69.0 eV for the cell shown
data_AcPmAu2O8
_chemical_formula_sum 'Ac1 Pm1 Au2 O8'
_symmetry_space_group_name_H-M 'P 1'
_symmetry_Int_Tables_number 1
_symmetry_space_group_name_Hall 'P 1'
_cell_length_a 5.734
_cell_length_b 5.734
_cell_length_c 6.715
_cell_angle_alpha 115.28
_cell_angle_beta 115.28
_cell_angle_gamma 90.00
loop_
_atom_site_label
_atom_site_fract_x
_atom_site_fract_y
_atom_site_fract_z
_atom_site_occupancy
Ac1 0.750 0.250 0.500 1
Pm1 0.000 0.000 0.000 1
Au1 0.500 0.500 0.000 1
Au2 0.250 0.750 0.500 1
O1 0.660 0.851 0.067 1
O2 0.407 0.216 0.067 1
O3 0.618 0.694 0.581 1
O4 0.963 0.887 0.581 1
O5 0.113 0.382 0.419 1
O6 0.306 0.037 0.419 1
O7 0.149 0.593 0.933 1
O8 0.784 0.340 0.933 1


No. 4
# ReTcRuW, optimized geometry, DFT PBE
# **SG**: F-43m
# **Total moment**: 1.44 μB/f.u.
# **E_tot**: -43.9 eV for the cell shown
data_ReTcRuW
_chemical_formula_sum 'Re1 Tc1 Ru1 W1'
_symmetry_space_group_name_H-M 'P 1'
_symmetry_Int_Tables_number 1
_symmetry_space_group_name_Hall 'P 1'
_cell_length_a 4.408
_cell_length_b 4.408
_cell_length_c 4.408
_cell_angle_alpha 60.00
_cell_angle_beta 60.00
_cell_angle_gamma 60.00
loop_
_atom_site_label
_atom_site_fract_x
_atom_site_fract_y
_atom_site_fract_z
_atom_site_occupancy
Re1 0.750 0.750 0.750 1
Tc1 0.250 0.250 0.250 1
W1 0.500 0.500 0.500 1
Ru1 0.000 0.000 0.000 1